Material: Li3NiOF3
Method: DFT, PBE with a Hubbard U
State: optimized geometry

Results
Crystal system: tetragonal
DOS at the Fermi energy, states/eV/f.u.: 0.00
SG: P4/mmm
Density, g/cm³: 3.585
Energy above the most stable polymorph in this dataset, meV per atom: 0
Calculated total energy, eV/atom: -4.792

abc: 2.912 2.912 8.333
angles: 90.00 90.00 90.00
Fractional positions:
Li 0.000 0.000 0.000
Li 0.500 0.500 0.248
Li 0.500 0.500 0.752
Ni 0.000 0.000 0.500
O 0.500 0.500 0.500
F 0.000 0.000 0.241
F 0.000 0.000 0.759
F 0.500 0.500 0.000